1.
VASP calculation (GGA-PBE) on a relaxed structure of AcAgAuO4.

Unit cell a=6.1029 b=9.2059 c=8.1364 alpha=90.00 beta=90.00 gamma=90.00
Last column: nearest neighbours and their distance in Å.
Space group Cmcm (No. 63)
Inequivalent atoms, fractional coordinates:
Ac (0.0000, 0.0000, 0.0000) (multiplicity 4)  6 O 2.50-2.57
Ag (0.0000, 0.3295, 0.2500) (multiplicity 4)  4 O 2.15-2.29
Au (0.0000, 0.3165, 0.7500) (multiplicity 4)  2 O 2.00
O (0.0000, 0.2787, 0.5077) (multiplicity 8)  1 Au 2.00, 1 Ag 2.15
O (0.2383, 0.0079, 0.2500) (multiplicity 8)  1 Au 2.27, 1 Ag 2.29, 2 Ac 2.50

Calculated values
volume = 457 Å³/cell
formation energy without anion corrections = -957 meV/atom

2.
VASP calculation (GGA-PBE) on a relaxed structure of PmRuRh2.

Unit cell a=4.3847 b=4.3847 c=14.4251 alpha=90.00 beta=90.00 gamma=120.00
Last column: nearest neighbours and their distance in Å.
Space group R-3m (No. 166, hexagonal axes)
Inequivalent atoms, fractional coordinates:
Pm (0.0000, 0.0000, 0.0000) (multiplicity 3)  8 Rh 2.92-3.16
Ru (0.0000, 0.0000, 0.5000) (multiplicity 3)  6 Rh 2.58
Rh (0.0000, 0.0000, 0.2026) (multiplicity 6)  3 Ru 2.58, 3 Rh 2.74

Calculated values
volume = 240 Å³/cell
formation enthalpy at 0 K = -0.118 eV per atom

3.
VASP calculation (GGA-PBE) on a relaxed structure of Ac4AgRh.

Unit cell a=14.8382 b=14.8382 c=14.8382 alpha=90.00 beta=90.00 gamma=90.00
Last column: nearest neighbours and their distance in Å.
Space group F-43m (No. 216)
Inequivalent atoms, fractional coordinates:
Ac (0.0000, 0.0000, 0.1866) (multiplicity 24)  2 Ag 3.47, 2 Rh 3.80, 2 Ac 3.80
Ac (0.0600, 0.2500, 0.7500) (multiplicity 24)  2 Rh 3.06
Ac (0.0985, 0.0985, 0.4015) (multiplicity 16)  3 Rh 3.08
Ag (0.1644, 0.1644, 0.1644) (multiplicity 16)  9 Ac 3.47-3.78, 3 Ag 3.59
Rh (0.1084, 0.1084, 0.6084) (multiplicity 16)  6 Ac 3.06-3.08

Calculated values
volume = 3267 Å³/cell
formation enthalpy at 0 K = -0.332 eV per atom

4.
VASP calculation (GGA-PBE) on a relaxed structure of Ag5Pb.

Unit cell a=4.4508 b=12.1143 c=4.3999 alpha=90.00 beta=90.00 gamma=90.00
Last column: nearest neighbours and their distance in Å.
Space group Cmmm (No. 65)
Inequivalent atoms, fractional coordinates:
Ag (0.0000, 0.0000, 0.0000) (multiplicity 2)  8 Ag 3.02-3.06, 4 Pb 3.13
Ag (0.0000, 0.1711, 0.5000) (multiplicity 4)  10 Ag 2.90-3.13, 2 Pb 3.04
Ag (0.0000, 0.3266, 0.0000) (multiplicity 4)  10 Ag 2.90-3.13, 2 Pb 3.04
Pb (0.0000, 0.5000, 0.5000) (multiplicity 2)  12 Ag 3.04-3.13

Calculated values
volume = 237 Å³/cell
formation enthalpy at 0 K = 0.073 eV per atom